#one
Compound: TaCd2Re
Source: the Alexandria database
Functional: GGA-PBEsol
Structure: relaxed

Computed properties:
The value obtained for the density of states at the Fermi level is 0.5126 states/eV per atom.

The structure in POSCAR format:
```
TaCd2Re
1.0
-0.7108 -2.5239 -0.8154
3.0091 1.8051 -4.1199
2.7811 -1.4226 4.5574
Cd Re Ta
2 1 1
Cartesian
2.5397 -1.0707 -0.1889 Cd
1.3905 -0.7113 2.2787 Cd
-0.3554 -1.2619 -0.4077 Re
1.5045 0.9025 -2.0599 Ta
```



#two
Compound: TaCd2Re
Source: the Alexandria database
Functional: GGA-PBEsol
Structure: relaxed

Computed properties:
The value obtained for the density of states at the Fermi level is 0.5661 states/eV per atom.

The structure in POSCAR format:
```
TaCd2Re
1.0
3.4051 0.0000 0.0000
0.0000 4.2969 0.0000
0.0000 0.0000 4.7406
Cd Re Ta
2 1 1
Cartesian
0.0000 0.0000 0.0000 Cd
1.7026 2.1485 0.0000 Cd
1.7026 0.0000 2.3703 Re
0.0000 2.1485 2.3703 Ta
```



#three
Compound: TaCd2Re
Source: the Alexandria database
Functional: GGA-PBEsol
Structure: relaxed

Computed properties:
The value obtained for the density of states at the Fermi level is 0.7600 states/eV per atom.

The structure in POSCAR format:
```
TaCd2Re
1.0
4.1868 0.0000 0.0000
0.0000 4.1868 0.0000
-2.0934 -2.0934 3.9296
Ta Cd Re
1 2 1
Cartesian
0.0000 2.0934 1.9648 Ta
2.0934 0.0000 1.9648 Cd
0.0000 0.0000 0.0000 Cd
2.0934 2.0934 0.0000 Re
```



Most stable one: #two, least stable one: #three.



#one
Compound: TlCdRe2
Source: the Alexandria database
Functional: GGA-PBEsol
Structure: relaxed

Computed properties:
The value obtained for the density of states at the Fermi level is 0.8010 states/eV per atom.

The structure in POSCAR format:
```
TlCdRe2
1.0
2.9327 0.0000 0.0000
0.0000 4.8558 0.0000
0.0000 0.0000 4.8604
Re Tl Cd
2 1 1
Cartesian
0.0000 0.0000 0.0000 Re
1.4663 2.4279 0.0000 Re
1.4663 0.0000 2.4302 Tl
0.0000 2.4279 2.4302 Cd
```



#two
Compound: TlCdRe2
Source: the Alexandria database
Functional: GGA-PBEsol
Structure: relaxed

Computed properties:
The value obtained for the density of states at the Fermi level is 1.0141 states/eV per atom.

The structure in POSCAR format:
```
TlCdRe2
1.0
4.5746 0.0000 0.0000
2.2873 3.9617 0.0000
2.2873 1.3206 3.7352
Cd Re Tl
1 2 1
Cartesian
0.0000 0.0000 0.0000 Cd
6.8619 3.9617 2.8014 Re
2.2873 1.3206 0.9338 Re
4.5746 2.6412 1.8676 Tl
```



Most stable one: #one, least stable one: #two.



#one
Compound: Cd5Rh
Source: the Alexandria database
Functional: GGA-PBEsol
Structure: relaxed

Computed properties:
The value obtained for the density of states at the Fermi level is 0.3708 states/eV per atom.

The structure in POSCAR format:
```
Cd5Rh
1.0
-1.0899 -0.6275 -2.7526
2.0232 -4.9376 1.9881
-6.5476 0.5265 2.4726
Cd Rh
5 1
Cartesian
-3.5882 -3.0399 2.1138 Cd
-0.4938 -3.8905 1.0824 Cd
-3.8587 -0.2301 1.5804 Cd
-6.4896 0.3862 2.4816 Cd
-2.2146 -1.9674 -0.3382 Cd
-6.0951 -2.1206 1.2332 Rh
```



#two
Compound: Cd5Rh
Source: the Alexandria database
Functional: GGA-PBEsol
Structure: relaxed

Computed properties:
The value obtained for the density of states at the Fermi level is 0.3451 states/eV per atom.

The structure in POSCAR format:
```
Cd5Rh
1.0
-3.0761 -2.5614 -0.8548
-0.4011 -0.8814 4.0845
-4.3906 4.3814 2.6713
Cd Rh
5 1
Cartesian
-3.0496 2.8381 2.4700 Cd
-1.5381 -1.2807 -0.4274 Cd
-3.0795 -0.1782 1.8162 Cd
-4.7883 1.1168 4.0849 Cd
-1.7421 0.6619 4.2858 Cd
-0.2006 -0.4407 2.0423 Rh
```



Most stable one: #two, least stable one: #one.